# BaRuBr2

A relaxed BaRuBr2 crystal (PBE, the Alexandria database).

It has space group Imm2 (No. 44), with a = 3.786 Å, b = 4.087 Å, c = 16.181 Å, α = 90.00°, β = 90.00° and γ = 90.00°. Symmetry generates all atoms from Ba at (0.000, 0.000, 0.000), Ru at (0.000, 0.500, 0.338), Br at (0.000, 0.000, 0.604) and Br at (0.000, 0.500, 0.833).

The density is 5.28 g/cm3. Its final energy is -3.97 eV per atom. For the total magnetization, the calculation gives 3.201 μB per cell. The uncorrected formation energy comes out at -0.3297 eV/atom.

---

# BaRuBr2

A relaxed BaRuBr2 crystal (PBE, the Alexandria database).

It has space group Cm (No. 8), with a = 12.138 Å, b = 3.936 Å, c = 5.530 Å, α = 90.00°, β = 95.06° and γ = 90.00°. Symmetry generates all atoms from Ba at (0.000, 0.000, 0.000), Ru at (0.191, 0.500, 0.802), Br at (0.017, 0.500, 0.502) and Br at (0.271, 0.000, 0.016).

The density is 5.03 g/cm3. Its final energy is -4.10 eV per atom. For the total magnetization, the calculation gives 1.156 μB per cell. The uncorrected formation energy comes out at -0.4592 eV/atom.

---

# BaRuBr

A relaxed BaRuBr crystal (PBE, the Alexandria database).

It has space group F-43m (No. 216), with a = 6.894 Å, b = 6.894 Å, c = 6.894 Å, α = 90.00°, β = 90.00° and γ = 90.00°. Symmetry generates all atoms from Ba at (0.000, 0.000, 0.000), Ru at (0.250, 0.250, 0.250) and Br at (0.000, 0.000, 0.500).

The density is 6.45 g/cm3. Its final energy is -4.01 eV per atom. For the total magnetization, the calculation gives 4.351 μB per cell. The uncorrected formation energy comes out at 0.2773 eV/atom.

---

# Ba2RuBr

A relaxed Ba2RuBr crystal (PBE, the Alexandria database).

It has space group Pmmm (No. 47), with a = 3.790 Å, b = 3.811 Å, c = 8.641 Å, α = 90.00°, β = 90.00° and γ = 90.00°. Symmetry generates all atoms from Ba at (0.000, 0.000, 0.221), Ru at (0.500, 0.500, 0.000) and Br at (0.500, 0.500, 0.500).

The density is 6.06 g/cm3. Its final energy is -4.13 eV per atom. For the total magnetization, the calculation gives 0.336 μB per cell. The uncorrected formation energy comes out at -0.4271 eV/atom.

---

Q: Which value of final energy does entry 1 give?
A: -3.97 eV per atom